DyThS2 PBE optimized geometry; total DFT energy (no corrections) = -6.98 eV/atom; energy relative to the lowest polymorph listed for this composition = 0.0 meV per atom; SG = R-3m, No. 166; E_form (uncorrected) = -737.4 kJ/mol of formula units
1.0
3.905 0.000 0.000
1.952 3.381 0.000
1.952 1.127 6.722
S Th Dy
2 1 1
direct
0.245 0.245 0.266 S
0.755 0.755 0.734 S
0.000 0.000 0.000 Th
0.500 0.500 0.500 Dy

***

DyTh2S6 PBE optimized geometry; total DFT energy (no corrections) = -6.60 eV/atom; SG = P4_2/mnm, No. 136; E_form (uncorrected) = -1466.3 kJ/mol of formula units
1.0
6.450 0.000 0.000
0.000 6.450 0.000
0.000 0.000 12.665
Dy Th S
2 4 12
direct
0.500 0.500 0.000 Dy
0.000 0.000 0.500 Dy
0.500 0.500 0.332 Th
0.500 0.500 0.668 Th
0.000 0.000 0.168 Th
0.000 0.000 0.832 Th
0.696 0.696 0.163 S
0.696 0.696 0.837 S
0.697 0.697 0.500 S
0.803 0.197 0.000 S
0.804 0.196 0.337 S
0.804 0.196 0.663 S
0.196 0.804 0.337 S
0.196 0.804 0.663 S
0.197 0.803 0.000 S
0.303 0.303 0.500 S
0.304 0.304 0.163 S
0.304 0.304 0.837 S

***

Dy3Th5S8 PBE optimized geometry; total DFT energy (no corrections) = -7.14 eV/atom; SG = R-3m, No. 166; E_form (uncorrected) = -2918.0 kJ/mol of formula units
1.0
-1.980 -1.526 7.495
5.422 0.586 5.716
-0.468 6.084 5.280
Dy Th S
3 5 8
direct
0.500 0.000 0.500 Dy
0.000 0.000 0.500 Dy
0.000 0.500 0.500 Dy
0.500 0.000 0.000 Th
0.500 0.500 0.000 Th
0.000 0.000 0.000 Th
0.000 0.500 0.000 Th
0.500 0.500 0.500 Th
0.250 0.250 0.738 S
0.250 0.761 0.738 S
0.761 0.250 0.738 S
0.755 0.755 0.734 S
0.750 0.750 0.262 S
0.750 0.239 0.262 S
0.239 0.750 0.262 S
0.245 0.245 0.266 S

***

Dy3Tm2ThS6 PBE optimized geometry; total DFT energy (no corrections) = -6.51 eV/atom; SG = C2/m, No. 12; E_form (uncorrected) = -2238.9 kJ/mol of formula units
1.0
-2.966 2.282 1.099
-0.819 -4.228 6.568
6.996 4.902 1.779
Dy Tm Th S
3 2 1 6
direct
0.500 0.500 0.000 Dy
0.838 0.166 0.677 Dy
0.162 0.834 0.323 Dy
0.835 0.670 0.671 Tm
0.165 0.330 0.329 Tm
0.500 0.000 0.000 Th
0.327 0.909 0.655 S
0.669 0.580 0.339 S
0.673 0.091 0.345 S
0.003 0.263 0.006 S
0.997 0.737 0.994 S
0.331 0.420 0.661 S

***

DyTmTh2S4 PBE optimized geometry; total DFT energy (no corrections) = -6.94 eV/atom; SG = P2/m, No. 10; E_form (uncorrected) = -1460.2 kJ/mol of formula units
1.0
3.904 0.000 0.000
0.000 6.706 0.098
0.000 -2.365 6.673
Dy Tm Th S
1 1 2 4
direct
0.000 0.000 0.000 Dy
0.500 0.500 0.000 Tm
0.500 0.000 0.500 Th
0.000 0.500 0.500 Th
0.500 0.247 0.232 S
0.500 0.753 0.768 S
0.000 0.259 0.770 S
0.000 0.741 0.230 S

***

Dy2TmThS4 PBE optimized geometry; total DFT energy (no corrections) = -6.62 eV/atom; SG = P2/m, No. 10; E_form (uncorrected) = -1480.8 kJ/mol of formula units
1.0
-2.517 2.961 0.283
-1.105 -1.561 6.511
4.469 3.425 3.922
Dy Tm Th S
2 1 1 4
direct
0.000 0.000 0.000 Dy
0.500 0.000 0.500 Dy
0.000 0.500 0.500 Tm
0.500 0.500 0.000 Th
0.000 0.757 0.738 S
0.000 0.243 0.262 S
0.500 0.750 0.259 S
0.500 0.250 0.741 S

***

Dy3YTh4S8 PBE optimized geometry; total DFT energy (no corrections) = -7.10 eV/atom; SG = R-3m, No. 166; E_form (uncorrected) = -2957.7 kJ/mol of formula units
1.0
7.813 0.000 0.000
0.000 8.090 0.190
-3.906 -3.901 5.527
Dy Y Th S
3 1 4 8
direct
0.500 0.500 0.000 Dy
0.500 0.500 0.500 Dy
0.000 0.500 0.500 Dy
0.000 0.500 0.000 Y
0.500 0.000 0.000 Th
0.500 0.000 0.500 Th
0.000 0.000 0.000 Th
0.000 0.000 0.500 Th
0.245 0.734 0.989 S
0.245 0.734 0.490 S
0.255 0.266 0.511 S
0.744 0.734 0.989 S
0.256 0.266 0.011 S
0.745 0.734 0.489 S
0.755 0.266 0.510 S
0.755 0.266 0.011 S

***

DyY3Th4S8 PBE optimized geometry; total DFT energy (no corrections) = -7.33 eV/atom; SG = R-3m, No. 166; E_form (uncorrected) = -2957.1 kJ/mol of formula units
1.0
7.818 0.000 0.000
0.000 8.097 0.190
-3.909 -3.904 5.532
Dy Y Th S
1 3 4 8
direct
0.000 0.500 0.000 Dy
0.500 0.500 0.000 Y
0.500 0.500 0.500 Y
0.000 0.500 0.500 Y
0.500 0.000 0.000 Th
0.500 0.000 0.500 Th
0.000 0.000 0.000 Th
0.000 0.000 0.500 Th
0.245 0.734 0.990 S
0.245 0.734 0.489 S
0.255 0.265 0.510 S
0.745 0.734 0.990 S
0.255 0.266 0.010 S
0.745 0.735 0.490 S
0.755 0.266 0.511 S
0.755 0.266 0.010 S

***

Dy2YTh3S6 PBE optimized geometry; total DFT energy (no corrections) = -7.13 eV/atom; SG = C2/m, No. 12; E_form (uncorrected) = -2205.7 kJ/mol of formula units
1.0
-5.944 -1.476 2.824
4.468 -4.922 -1.141
3.146 3.099 5.568
Dy Y Th S
2 1 3 6
direct
0.333 0.667 0.000 Dy
0.667 0.333 0.000 Dy
0.000 0.000 0.000 Y
0.166 0.834 0.500 Th
0.834 0.166 0.500 Th
0.500 0.500 0.500 Th
0.922 0.588 0.766 S
0.744 0.744 0.234 S
0.078 0.412 0.234 S
0.588 0.922 0.766 S
0.256 0.256 0.766 S
0.412 0.078 0.234 S

***

Dy2Y3ThS6 PBE optimized geometry; total DFT energy (no corrections) = -7.02 eV/atom; SG = C2/m, No. 12; E_form (uncorrected) = -2266.7 kJ/mol of formula units
1.0
3.931 0.000 0.000
0.000 7.891 0.290
-1.965 -2.265 8.270
Dy Y Th S
2 3 1 6
direct
0.835 0.670 0.671 Dy
0.165 0.330 0.329 Dy
0.500 0.500 0.000 Y
0.837 0.166 0.673 Y
0.163 0.834 0.327 Y
0.500 0.000 0.000 Th
0.329 0.913 0.657 S
0.668 0.583 0.337 S
0.671 0.087 0.343 S
0.001 0.261 0.002 S
0.999 0.739 0.998 S
0.332 0.417 0.663 S

***

DyY2ThS4 PBE optimized geometry; total DFT energy (no corrections) = -7.12 eV/atom; SG = P2/m, No. 10; E_form (uncorrected) = -1497.8 kJ/mol of formula units
1.0
3.920 0.000 0.000
0.000 6.855 -0.160
0.000 2.402 6.424
Dy Y Th S
1 2 1 4
direct
0.000 0.500 0.500 Dy
0.000 0.000 0.000 Y
0.500 0.000 0.500 Y
0.500 0.500 0.000 Th
0.000 0.758 0.741 S
0.000 0.242 0.259 S
0.500 0.753 0.255 S
0.500 0.247 0.745 S

***

DyTiS2 PBE optimized geometry; total DFT energy (no corrections) = -6.76 eV/atom; energy relative to the lowest polymorph listed for this composition = 0.0 meV per atom; SG = R-3m, No. 166; E_form (uncorrected) = -606.4 kJ/mol of formula units
1.0
3.734 0.000 0.000
1.867 3.234 0.000
1.867 1.078 5.996
S Ti Dy
2 1 1
direct
0.259 0.259 0.224 S
0.741 0.741 0.776 S
0.000 0.000 0.000 Ti
0.500 0.500 0.500 Dy